MnNiSb3: relaxed, GGA-PBE.

Lattice parameters (Å, degrees): 4.9252 4.9252 4.9252 90.00 90.00 90.00
Space group Pm-3m (No. 221)
Asymmetric unit:
Mn1 0.0000 0.0000 0.0000 (multiplicity 1)
Ni1 0.5000 0.5000 0.5000 (multiplicity 1)
Sb1 0.0000 0.5000 0.5000 (multiplicity 3)

For the total magnetization, the calculation gives 0.13 μB/f.u. For the electronic total energy, the calculation gives -0.331 Ry/atom. The polymorph energy (0 for the lowest one) is 24.6 kJ/mol of atoms. The value obtained for the uncorrected formation energy is 0.960 eV/atom.